Entry 1:
Tm7Al5Tl: relaxed, PBE.

Energy relative to the elements   -207.1 meV/atom
E   -55.07 eV per cell

a = 7.8478 Å, b = 7.8478 Å, c = 7.8478 Å
α = 133.64°, β = 101.46°, γ = 96.39°
Closest atoms and distances in Å follow each position.
Element x y z (fractional)
Tm 0.0000 0.0000 0.0000  4 Al 3.17, 4 Tm 3.40-3.46, 1 Tl 3.49
Tm 0.2903 0.6121 0.6782  5 Al 3.07-3.17, 1 Tl 3.25, 3 Tm 3.26-3.41
Tm 0.3546 0.3546 0.0000  6 Al 3.02-3.09, 1 Tl 3.26
Tm 0.4293 0.1050 0.3244  5 Al 2.99-3.27, 1 Tm 3.11
Tm 0.7806 0.1050 0.6756  5 Al 2.99-3.27, 1 Tm 3.11
Tm 0.8508 0.3508 0.5000  4 Al 2.99, 4 Tm 3.11-3.26
Tm 0.9339 0.6121 0.3218  5 Al 3.07-3.17, 1 Tl 3.25, 3 Tm 3.26-3.41
Al 0.1117 0.0914 0.4756  2 Al 2.81-2.87, 4 Tm 2.99-3.07
Al 0.1117 0.6361 0.0202  2 Al 2.81-2.87, 4 Tm 2.99-3.07
Al 0.3584 0.8584 0.5000  4 Al 2.87, 6 Tm 3.09-3.13
Al 0.6158 0.0914 0.9798  2 Al 2.81-2.87, 4 Tm 2.99-3.07
Al 0.6158 0.6361 0.5244  2 Al 2.81-2.87, 4 Tm 2.99-3.07
Tl 0.6666 0.6666 0.0000  8 Tm 3.25-3.61, 4 Al 3.51


Entry 2:
NdMg2Zn2Hg2: relaxed, PBE.

Energy relative to the elements   -232.7 meV/atom
E   -12.74 eV per cell

a = 8.7584 Å, b = 8.7584 Å, c = 8.7584 Å
α = 30.89°, β = 30.89°, γ = 30.89°
Closest atoms and distances in Å follow each position.
Element x y z (fractional)
Nd 0.0000 0.0000 0.0000  6 Hg 3.31, 6 Zn 3.35, 2 Mg 3.37
Mg 0.1348 0.1348 0.1348  4 Zn 2.96-3.02, 3 Hg 3.06, 3 Mg 3.13
Mg 0.8652 0.8652 0.8652  4 Zn 2.96-3.02, 3 Hg 3.06, 3 Mg 3.13
Zn 0.2534 0.2534 0.2534  3 Hg 2.69, 1 Mg 2.96
Zn 0.7466 0.7466 0.7466  3 Hg 2.69, 1 Mg 2.96
Hg 0.4103 0.4103 0.4103  3 Zn 2.69
Hg 0.5897 0.5897 0.5897  3 Zn 2.69


Entry 3:
Na3TiO3: relaxed, PBE.

Raw formation energy   -1905 meV/atom
Offset from the most stable computed form   45 meV per atom
E   -160.25 eV per cell

a = 9.6359 Å, b = 9.6615 Å, c = 4.4021 Å
α = 90.00°, β = 90.00°, γ = 90.00°
Closest atoms and distances in Å follow each position.
Element x y z (fractional)
Na 0.1209 0.1362 0.0000  3 O 2.25-2.32
Na 0.1346 0.8793 0.5000  3 O 2.25-2.33
Na 0.1521 0.3480 0.5000  4 O 2.34-2.38
Na 0.3479 0.8480 0.0000  4 O 2.34-2.38
Na 0.3654 0.3793 0.0000  3 O 2.25-2.33
Na 0.3791 0.6362 0.5000  3 O 2.25-2.32
Na 0.6209 0.3638 0.5000  3 O 2.25-2.32
Na 0.6345 0.6207 0.0000  3 O 2.25-2.33
Na 0.6521 0.1520 0.0000  4 O 2.34-2.38
Na 0.8479 0.6520 0.5000  4 O 2.34-2.38
Na 0.8654 0.1207 0.5000  3 O 2.25-2.33
Na 0.8791 0.8638 0.0000  3 O 2.25-2.32
Ti 0.1157 0.6152 0.0000  4 O 1.86-2.04
Ti 0.3843 0.1152 0.5000  4 O 1.86-2.04
Ti 0.6157 0.8848 0.5000  4 O 1.86-2.04
Ti 0.8843 0.3848 0.0000  4 O 1.86-2.04
O 0.0949 0.4053 0.0000  2 Ti 2.04
O 0.1055 0.8069 0.0000  1 Ti 1.86
O 0.1920 0.1053 0.5000  1 Ti 1.86
O 0.3080 0.6053 0.0000  1 Ti 1.86
O 0.3945 0.3069 0.5000  1 Ti 1.86
O 0.4051 0.9053 0.5000  2 Ti 2.04
O 0.5949 0.0947 0.5000  2 Ti 2.04
O 0.6055 0.6931 0.5000  1 Ti 1.86
O 0.6920 0.3947 0.0000  1 Ti 1.86
O 0.8080 0.8947 0.5000  1 Ti 1.86
O 0.8945 0.1931 0.0000  1 Ti 1.86
O 0.9051 0.5947 0.0000  2 Ti 2.04


Entry 4:
Er2Sc6Cd: relaxed, PBE.

Energy relative to the elements   42.6 meV/atom
E   -47.65 eV per cell

a = 8.8373 Å, b = 8.8373 Å, c = 8.8373 Å
α = 158.16°, β = 114.03°, γ = 70.40°
Closest atoms and distances in Å follow each position.
Element x y z (fractional)
Er 0.1378 0.1378 0.0000  10 Sc 3.33-3.45, 2 Er 3.35
Er 0.8622 0.8622 0.0000  10 Sc 3.33-3.45, 2 Er 3.35
Sc 0.1565 0.8174 0.3392  1 Cd 3.06, 7 Sc 3.09-3.35, 1 Er 3.33
Sc 0.2286 0.5000 0.7286  2 Cd 3.10, 6 Sc 3.30-3.35, 4 Er 3.41
Sc 0.4782 0.8174 0.6608  1 Cd 3.06, 7 Sc 3.09-3.35, 1 Er 3.33
Sc 0.5218 0.1826 0.3392  1 Cd 3.06, 7 Sc 3.09-3.35, 1 Er 3.33
Sc 0.7714 0.5000 0.2714  2 Cd 3.10, 6 Sc 3.30-3.35, 4 Er 3.41
Sc 0.8435 0.1826 0.6608  1 Cd 3.06, 7 Sc 3.09-3.35, 1 Er 3.33
Cd 0.5000 0.0000 0.5000  8 Sc 3.06-3.10, 2 Cd 3.35


Entry 5:
Ba2ZrB2: relaxed, PBE.

Energy relative to the elements   851.5 meV/atom
Offset from the most stable computed form   0 meV per atom
E   -42.98 eV per cell

a = 7.1479 Å, b = 7.1479 Å, c = 5.0157 Å
α = 90.00°, β = 90.00°, γ = 90.00°
Closest atoms and distances in Å follow each position.
Element x y z (fractional)
Ba 0.1594 0.3406 0.0000  2 B 2.94, 1 Ba 3.22
Ba 0.3406 0.8406 0.0000  2 B 2.94, 1 Ba 3.22
Ba 0.6594 0.1594 0.0000  2 B 2.94, 1 Ba 3.22
Ba 0.8406 0.6594 0.0000  2 B 2.94, 1 Ba 3.22
Zr 0.0000 0.0000 0.5000  4 B 2.60
Zr 0.5000 0.5000 0.5000  4 B 2.60
B 0.1880 0.6880 0.5000  2 Zr 2.60
B 0.3120 0.1880 0.5000  2 Zr 2.60
B 0.6880 0.8120 0.5000  2 Zr 2.60
B 0.8120 0.3120 0.5000  2 Zr 2.60


Entry 6:
Mn2FeBr: relaxed, PBE.

Raw formation energy   722 meV/atom
Offset from the most stable computed form   360 meV per atom
E   -51.17 eV per cell

a = 3.9305 Å, b = 3.9305 Å, c = 8.1892 Å
α = 90.00°, β = 90.00°, γ = 90.00°
Closest atoms and distances in Å follow each position.
Element x y z (fractional)
Mn 0.0000 0.5000 0.2500  4 Mn 2.78, 4 Fe 2.84, 4 Br 2.84
Mn 0.0000 0.5000 0.7500  4 Mn 2.78, 4 Fe 2.84, 4 Br 2.84
Mn 0.5000 0.0000 0.2500  4 Mn 2.78, 4 Fe 2.84, 4 Br 2.84
Mn 0.5000 0.0000 0.7500  4 Mn 2.78, 4 Fe 2.84, 4 Br 2.84
Fe 0.0000 0.0000 0.0000  4 Br 2.78, 8 Mn 2.84
Fe 0.5000 0.5000 0.5000  4 Br 2.78, 8 Mn 2.84
Br 0.0000 0.0000 0.5000  4 Fe 2.78, 8 Mn 2.84
Br 0.5000 0.5000 0.0000  4 Fe 2.78, 8 Mn 2.84


Entry 7:
Dy2Sc3Co2: relaxed, PBE.

Energy relative to the elements   -64.5 meV/atom
Offset from the most stable computed form   141 meV per atom
E   -85.72 eV per cell

a = 11.4590 Å, b = 3.5523 Å, c = 8.9702 Å
α = 90.00°, β = 120.11°, γ = 90.00°
Closest atoms and distances in Å follow each position.
Element x y z (fractional)
Dy 0.0955 0.0000 0.3942  1 Co 2.62
Dy 0.4045 0.5000 0.6058  1 Co 2.62
Dy 0.5955 0.5000 0.3942  1 Co 2.62
Dy 0.9045 0.0000 0.6058  1 Co 2.62
Sc 0.0000 0.5000 0.0000  4 Co 2.64
Sc 0.2006 0.5000 0.7810  3 Co 2.48-2.51
Sc 0.2994 0.0000 0.2190  3 Co 2.48-2.51
Sc 0.5000 0.0000 0.0000  4 Co 2.64
Sc 0.7006 0.0000 0.7810  3 Co 2.48-2.51
Sc 0.7994 0.5000 0.2190  3 Co 2.48-2.51
Co 0.1238 0.0000 0.9099  5 Sc 2.48-2.64, 1 Dy 2.62
Co 0.3762 0.5000 0.0901  5 Sc 2.48-2.64, 1 Dy 2.62
Co 0.6238 0.5000 0.9099  5 Sc 2.48-2.64, 1 Dy 2.62
Co 0.8762 0.0000 0.0901  5 Sc 2.48-2.64, 1 Dy 2.62


Entry 8:
ZnIn2Cu: relaxed, PBE.

Energy relative to the elements   99.8 meV/atom
E   -20.90 eV per cell

a = 3.0322 Å, b = 4.4670 Å, c = 12.0747 Å
α = 90.00°, β = 90.00°, γ = 90.00°
Closest atoms and distances in Å follow each position.
Element x y z (fractional)
Zn 0.0000 0.0000 0.0000  2 Cu 2.65
Zn 0.5000 0.5000 0.5000  2 Cu 2.65
In 0.0000 0.0000 0.3921  2 Cu 2.98, 4 Zn 3.00, 2 In 3.03
In 0.0000 0.5000 0.1819  4 Cu 2.70
In 0.5000 0.0000 0.6819  4 Cu 2.70
In 0.5000 0.5000 0.8921  2 Cu 2.98, 4 Zn 3.00, 2 In 3.03
Cu 0.0000 0.5000 0.6801  2 Zn 2.65, 4 In 2.70
Cu 0.5000 0.0000 0.1801  2 Zn 2.65, 4 In 2.70


Entry 9:
Y5TlCd4: relaxed, PBE.

Energy relative to the elements   -361.7 meV/atom
E   -41.96 eV per cell

a = 3.7609 Å, b = 3.7609 Å, c = 18.8010 Å
α = 90.00°, β = 90.00°, γ = 90.00°
Closest atoms and distances in Å follow each position.
Element x y z (fractional)
Y 0.0000 0.0000 0.0000  8 Cd 3.26
Y 0.0000 0.0000 0.1988  8 Cd 3.23-3.25
Y 0.0000 0.0000 0.3967  4 Cd 3.26, 4 Tl 3.29
Y 0.0000 0.0000 0.6033  4 Cd 3.26, 4 Tl 3.29
Y 0.0000 0.0000 0.8012  8 Cd 3.23-3.25
Tl 0.5000 0.5000 0.5000  8 Y 3.29
Cd 0.5000 0.5000 0.0999  8 Y 3.25-3.26
Cd 0.5000 0.5000 0.2961  8 Y 3.23-3.26
Cd 0.5000 0.5000 0.7039  8 Y 3.23-3.26
Cd 0.5000 0.5000 0.9001  8 Y 3.25-3.26


Entry 10:
CaCd10Cu2: relaxed, PBE.

Energy relative to the elements   -75.2 meV/atom
E   -20.32 eV per cell

a = 10.0564 Å, b = 7.6603 Å, c = 7.5919 Å
α = 82.50°, β = 49.04°, γ = 48.46°
Closest atoms and distances in Å follow each position.
Element x y z (fractional)
Ca 0.0000 0.0000 0.0000  16 Cd 3.46-3.83, 4 Cu 3.80
Cd 0.0000 0.5000 0.0000  6 Cd 2.76-2.99
Cd 0.0181 0.6560 0.3440  2 Cu 2.88, 6 Cd 3.06-3.16
Cd 0.2876 0.5106 0.4894  2 Cu 2.80, 6 Cd 2.89-3.07
Cd 0.3440 0.9819 0.0181  2 Cu 2.88, 6 Cd 3.06-3.16
Cd 0.4894 0.7124 0.2876  2 Cu 2.80, 6 Cd 2.89-3.07
Cd 0.5000 0.0000 0.5000  6 Cd 2.76-2.99
Cd 0.5106 0.2876 0.7124  2 Cu 2.80, 6 Cd 2.89-3.07
Cd 0.6560 0.0181 0.9819  2 Cu 2.88, 6 Cd 3.06-3.16
Cd 0.7124 0.4894 0.5106  2 Cu 2.80, 6 Cd 2.89-3.07
Cd 0.9819 0.3440 0.6560  2 Cu 2.88, 6 Cd 3.06-3.16
Cu 0.0000 0.0000 0.5000  2 Cu 2.76, 8 Cd 2.80-2.88
Cu 0.5000 0.5000 0.0000  2 Cu 2.76, 8 Cd 2.80-2.88


Entry 11:
SrAgPd: relaxed, PBE.

Energy relative to the elements   -277.3 meV/atom
Offset from the most stable computed form   162 meV per atom
E   -42.23 eV per cell

a = 6.8771 Å, b = 6.8771 Å, c = 6.8771 Å
α = 90.00°, β = 90.00°, γ = 90.00°
Closest atoms and distances in Å follow each position.
Element x y z (fractional)
Sr 0.0000 0.0000 0.0000  4 Pd 2.98
Sr 0.0000 0.5000 0.5000  4 Pd 2.98
Sr 0.5000 0.0000 0.5000  4 Pd 2.98
Sr 0.5000 0.5000 0.0000  4 Pd 2.98
Ag 0.0000 0.0000 0.5000  4 Pd 2.98
Ag 0.0000 0.5000 0.0000  4 Pd 2.98
Ag 0.5000 0.0000 0.0000  4 Pd 2.98
Ag 0.5000 0.5000 0.5000  4 Pd 2.98
Pd 0.2500 0.2500 0.2500  4 Sr 2.98, 4 Ag 2.98
Pd 0.2500 0.7500 0.7500  4 Sr 2.98, 4 Ag 2.98
Pd 0.7500 0.2500 0.7500  4 Sr 2.98, 4 Ag 2.98
Pd 0.7500 0.7500 0.2500  4 Sr 2.98, 4 Ag 2.98


Entry 12:
CrHg2: relaxed, PBE.

Energy relative to the elements   656.8 meV/atom
E   -33.03 eV per cell

a = 5.8552 Å, b = 5.8552 Å, c = 9.0412 Å
α = 90.00°, β = 90.00°, γ = 120.00°
Closest atoms and distances in Å follow each position.
Element x y z (fractional)
Cr 0.3333 0.6667 0.0577  12 Hg 3.22-3.42, 4 Cr 3.48-3.54
Cr 0.3333 0.6667 0.4423  12 Hg 3.22-3.42, 4 Cr 3.48-3.54
Cr 0.6667 0.3333 0.5577  12 Hg 3.22-3.42, 4 Cr 3.48-3.54
Cr 0.6667 0.3333 0.9423  12 Hg 3.22-3.42, 4 Cr 3.48-3.54
Hg 0.0000 0.0000 0.0000  6 Hg 2.87
Hg 0.0000 0.0000 0.5000  6 Hg 2.87
Hg 0.1740 0.3480 0.7500  6 Hg 2.80-3.06
Hg 0.1740 0.8260 0.7500  6 Hg 2.80-3.06
Hg 0.3480 0.1740 0.2500  6 Hg 2.80-3.06
Hg 0.6520 0.8260 0.7500  6 Hg 2.80-3.06
Hg 0.8260 0.1740 0.2500  6 Hg 2.80-3.06
Hg 0.8260 0.6520 0.2500  6 Hg 2.80-3.06


What is the E in the first record? -55.07 eV per cell